Density functional theory data (PBE with a Hubbard U) for crystalline CrCoF2 at its relaxed geometry.

- offset from the most stable computed form (eV/atom) = 0.000
- space group = R-3m
- mass density (g/cm3) = 4.258
- raw total energy (eV per formula unit) = -21.150

a = 6.2224 Å, b = 6.2224 Å, c = 6.2224 Å
α = 31.41°, β = 31.41°, γ = 31.41°
Fractional coordinates of all 4 atoms:
Cr 0.0000 0.0000 0.0000
Co 0.5000 0.5000 0.5000
F 0.1136 0.1136 0.1136
F 0.8864 0.8864 0.8864